No. 1
CaY2Ho | PBE | relaxed

**Energy relative to the lowest polymorph listed for this composition**: 0 meV per atom
**Symmetry**: C2
**Formation enthalpy at 0 K**: 0.0174 eV per atom
**Raw total energy**: -19.44 eV per cell

```
CaY2Ho
1.0
3.1128 -1.7967 0.0000
3.1128 1.7967 0.0000
-2.0377 0.0000 12.1396
Ca Y Ho
1 2 1
direct
0.0000 0.0000 0.0000
0.2480 0.2399 0.7344
0.7601 0.7520 0.2656
0.5044 0.4956 0.5000
```

No. 2
Sm2PaO6 | PBE | relaxed

**Energy relative to the lowest polymorph listed for this composition**: 112 meV per atom
**Energy relative to the elements, uncorrected**: -3.23 eV/atom
**Symmetry**: P4_2/mnm
**Raw total energy**: -155.50 eV per cell

```
Sm2PaO6
1.0
5.2244 0.0000 0.0000
0.0000 5.2244 0.0000
0.0000 0.0000 10.8239
Sm Pa O
4 2 12
direct
0.0000 0.0000 0.1660
0.0000 0.0000 0.8340
0.5000 0.5000 0.3340
0.5000 0.5000 0.6660
0.0000 0.0000 0.5000
0.5000 0.5000 0.0000
0.1850 0.1850 0.3445
0.1850 0.1850 0.6555
0.2048 0.2048 0.0000
0.2952 0.7048 0.5000
0.3150 0.6850 0.1555
0.3150 0.6850 0.8445
0.6850 0.3150 0.1555
0.6850 0.3150 0.8445
0.7048 0.2952 0.5000
0.7952 0.7952 0.0000
0.8150 0.8150 0.3445
0.8150 0.8150 0.6555
```

No. 3
AcPrZnCo | PBE | relaxed

**Symmetry**: F-43m
**Formation enthalpy at 0 K**: -0.0158 eV per atom
**Raw total energy**: -17.33 eV per cell

```
AcPrZnCo
1.0
0.0000 3.6869 3.6869
3.6869 0.0000 3.6869
3.6869 3.6869 0.0000
Ac Pr Zn Co
1 1 1 1
direct
0.0000 0.0000 0.0000
0.5000 0.5000 0.5000
0.7500 0.7500 0.7500
0.2500 0.2500 0.2500
```

No. 4
LiH3Pt | PBE | relaxed

**Symmetry**: R3m
**Raw total energy**: -17.62 eV per cell

```
LiH3Pt
1.0
2.4605 1.4206 2.1896
-2.4605 1.4206 2.1896
0.0000 -2.8411 2.1896
Li H Pt
1 3 1
direct
0.0000 0.0000 0.0000
0.4863 0.9203 0.9203
0.9203 0.4863 0.9203
0.9203 0.9203 0.4863
0.6127 0.6127 0.6127
```